Entry 1:
VASP calculation (PBE-GGA) on a geometry-optimized CuSb4Os structure.

Cell: 5.984 5.984 5.984 Å, 60.00 60.00 60.00°
Element x y z (fractional)
Cu: 0.000 0.000 0.000
Sb: 0.375 0.375 0.375
Sb: 0.375 0.375 0.875
Sb: 0.375 0.875 0.375
Sb: 0.875 0.375 0.375
Os: 0.750 0.750 0.750

Symmetry   F-43m
Raw total energy   -3.9628 eV/atom

---

Entry 2:
VASP calculation (PBE-GGA) on a geometry-optimized K2LaAu structure.

Cell: 5.728 5.728 5.728 Å, 60.00 60.00 60.00°
Element x y z (fractional)
K: 0.000 0.000 0.000
K: 0.250 0.250 0.250
La: 0.750 0.750 0.750
Au: 0.500 0.500 0.500

Symmetry   F-43m
E_form   201 meV per atom
Raw total energy   -2.3991 eV/atom

---

Entry 3:
VASP calculation (PBE-GGA) on a geometry-optimized HgAsIr2 structure.

Cell: 4.739 4.739 4.739 Å, 126.53 126.53 79.01°
Element x y z (fractional)
Hg: 0.000 0.000 0.000
As: 0.500 0.500 0.000
Ir: 0.250 0.750 0.500
Ir: 0.750 0.250 0.500

Symmetry   I4/mmm
E_form   487 meV per atom
Raw total energy   -5.1817 eV/atom

---

Entry 4:
VASP calculation (PBE-GGA) on a geometry-optimized LiP2Pd7Pb2 structure.

Cell: 4.535 4.535 11.428 Å, 102.51 102.51 78.35°
Element x y z (fractional)
Li: 0.000 0.000 0.000
P: 0.403 0.403 0.785
P: 0.597 0.597 0.215
Pd: 0.075 0.573 0.159
Pd: 0.135 0.135 0.612
Pd: 0.427 0.925 0.841
Pd: 0.500 0.500 0.000
Pd: 0.573 0.075 0.159
Pd: 0.865 0.865 0.388
Pd: 0.925 0.427 0.841
Pb: 0.269 0.269 0.390
Pb: 0.731 0.731 0.610

Symmetry   C2/m
E_form   -377 meV per atom
Raw total energy   -5.0857 eV/atom